1.
## ZnTeSe2 (PBE-GGA)

Data for ZnTeSe2 after structural relaxation.

Lattice parameters (Å, degrees): 4.975 4.975 4.975 60.00 60.00 60.00
Positions (direct):
Zn 0.000 0.000 0.000
Te 0.500 0.500 0.500
Se 0.250 0.250 0.250
Se 0.750 0.750 0.750

Properties
Volume in Å³/cell: 87.1
Crystal system: cubic
Total energy in eV/f.u.: -10.2

2.
## Nd9Ga4 (PBE-GGA)

Data for Nd9Ga4 after structural relaxation.

Lattice parameters (Å, degrees): 8.933 8.933 8.933 94.85 94.85 146.19
Positions (direct):
Nd 0.000 0.000 0.000
Nd 0.095 0.627 0.721
Nd 0.315 0.389 0.704
Nd 0.373 0.095 0.468
Nd 0.389 0.685 0.074
Nd 0.611 0.315 0.926
Nd 0.627 0.905 0.532
Nd 0.685 0.611 0.296
Nd 0.905 0.373 0.279
Ga 0.114 0.231 0.345
Ga 0.231 0.886 0.117
Ga 0.769 0.114 0.883
Ga 0.886 0.769 0.655

Properties
ΔE_f in eV/atom: -0.37
Volume in Å³/cell: 379.5
Crystal system: tetragonal
Total energy in eV/f.u.: -59.8

Among the records above, which one has the highest total energy? ZnTeSe2